First-principles (PBE) data for a geometry-optimized SmThScCd structure, as listed in the Alexandria database.

Values from the calculation:
electronic total energy	-19.3	eV per cell
space group	F-43m (216)
volume	113.05	Å³ per cell

Cell lengths 5.4274, 5.4274, 5.4274 Å; angles 60.00, 60.00, 60.00 degrees
Last column: nearest neighbours and their distance in Å.
Fractional coordinates of all 4 atoms:
Sc: 0.2500 0.2500 0.2500  4 Th 3.32, 4 Sm 3.32
Sm: 0.0000 0.0000 0.0000  4 Cd 3.32, 4 Sc 3.32
Th: 0.5000 0.5000 0.5000  4 Cd 3.32, 4 Sc 3.32
Cd: 0.7500 0.7500 0.7500  4 Sm 3.32, 4 Th 3.32

=====

First-principles (PBE) data for a geometry-optimized Tb4Pr3Te8 structure, as listed in the Alexandria database.

Values from the calculation:
electronic total energy	-79.2	eV per cell
space group	C2/m (12)
formation energy (no corrections)	-1.414	eV per atom
volume	493.53	Å³ per cell

Cell lengths 8.8541, 8.8675, 8.8675 Å; angles 90.04, 119.91, 119.91 degrees
Last column: nearest neighbours and their distance in Å.
Fractional coordinates of all 15 atoms:
Tb: 0.5000 0.0000 0.0000  6 Te 3.08-3.09
Tb: 0.0000 0.5000 0.0000  6 Te 3.13-3.14
Tb: 0.0000 0.0000 0.0000  6 Te 3.16
Tb: 0.0000 0.0000 0.5000  6 Te 3.13-3.14
Pr: 0.5000 0.5000 0.0000  6 Te 3.13-3.14
Pr: 0.5000 0.0000 0.5000  6 Te 3.13-3.14
Pr: 0.5000 0.5000 0.5000  6 Te 3.19
Te: 0.5037 0.2477 0.2477  2 Tb 3.08-3.16, 3 Pr 3.14-3.19
Te: 0.0000 0.7478 0.2522  3 Tb 3.13-3.16, 2 Pr 3.14
Te: 0.9919 0.2483 0.2483  4 Tb 3.09-3.16, 1 Pr 3.19
Te: 0.5000 0.7541 0.2459  3 Tb 3.08-3.14, 3 Pr 3.13-3.19
Te: 0.5000 0.2459 0.7541  3 Tb 3.08-3.14, 3 Pr 3.13-3.19
Te: 0.0081 0.7517 0.7517  4 Tb 3.09-3.16, 1 Pr 3.19
Te: 0.0000 0.2522 0.7478  3 Tb 3.13-3.16, 2 Pr 3.14
Te: 0.4963 0.7523 0.7523  2 Tb 3.08-3.16, 3 Pr 3.14-3.19

=====

Question: The lowest electronic total energy belongs to which entry?
Answer: Tb4Pr3Te8